InNiBr | Alexandria | PBE | relaxed; distance to the lowest polymorph of the same formula = 0.6441 eV per atom; SG = F-43m; raw total energy = -2.818 eV per atom
1.0
4.752 0.000 0.000
2.376 4.116 0.000
2.376 1.372 3.880
Ni Br In
1 1 1
direct
0.000 0.000 0.000
0.500 0.500 0.500
0.750 0.750 0.750

=====

Pr3CuGeS7 | Alexandria | PBE | relaxed; SG = P6_3; raw total energy = -5.795 eV per atom
1.0
-8.995 -2.609 -4.230
1.526 -1.352 10.073
-2.062 5.423 1.040
S Ge Pr Cu
14 2 6 2
direct
0.479 0.895 0.486
0.415 0.521 0.486
0.910 0.749 0.732
0.749 0.839 0.232
0.090 0.251 0.232
0.333 0.667 0.959
0.895 0.415 0.986
0.105 0.585 0.486
0.667 0.333 0.459
0.521 0.105 0.986
0.161 0.910 0.232
0.839 0.090 0.732
0.585 0.479 0.986
0.251 0.161 0.732
0.333 0.667 0.333
0.667 0.333 0.833
0.127 0.356 0.750
0.356 0.229 0.250
0.644 0.771 0.750
0.873 0.644 0.250
0.229 0.873 0.750
0.771 0.127 0.250
0.000 0.000 0.222
0.000 0.000 0.722

=====

Tc2SnTe | Alexandria | PBE | relaxed; distance to the lowest polymorph of the same formula = 0.7382 eV per atom; SG = I-42d; raw total energy = -5.988 eV per atom
1.0
6.048 0.000 0.000
0.000 6.048 0.000
3.024 3.024 5.853
Sn Tc Te
2 4 2
direct
0.500 0.500 0.000
0.250 0.750 0.500
0.115 0.625 0.250
0.875 0.885 0.750
0.375 0.365 0.750
0.635 0.125 0.250
0.000 0.000 0.000
0.750 0.250 0.500

=====

BaTlO2 | Alexandria | PBE | relaxed; distance to the lowest polymorph of the same formula = 0.0625 eV per atom; SG = I-42d; raw total energy = -5.044 eV per atom
1.0
-3.565 4.181 -1.432
-4.411 -3.256 1.476
-3.712 2.580 5.518
O Ba Tl
4 2 2
direct
0.875 0.909 0.750
0.659 0.125 0.250
0.375 0.341 0.750
0.091 0.625 0.250
0.500 0.500 0.000
0.250 0.750 0.500
0.750 0.250 0.500
0.000 0.000 0.000

=====

Ca2Ho4Sb3N2 | Alexandria | PBE | relaxed; SG = I4/mmm; raw total energy = -5.875 eV per atom
1.0
-2.692 0.031 3.843
-1.725 -4.202 -1.175
11.331 -3.459 5.102
Ca Sb Ho N
2 3 4 2
direct
0.693 0.693 0.386
0.307 0.307 0.614
0.000 0.000 0.000
0.824 0.824 0.648
0.176 0.176 0.352
0.085 0.585 0.170
0.915 0.415 0.830
0.415 0.915 0.830
0.585 0.085 0.170
0.404 0.404 0.808
0.596 0.596 0.192

=====

Pm2PaIn | Alexandria | PBE | relaxed; energy of formation = -0.065 eV per atom; distance to the lowest polymorph of the same formula = 0.0000 eV per atom; SG = P4/mmm; raw total energy = -5.498 eV per atom
1.0
-0.050 -3.469 0.271
2.993 0.095 1.773
-4.856 0.707 8.160
Pm In Pa
2 1 1
direct
0.000 0.000 0.758
0.000 0.000 0.242
0.500 0.500 0.000
0.500 0.500 0.500

=====

Ac2Pm3Tl4 | Alexandria | PBE | relaxed; energy of formation = -0.285 eV per atom; distance to the lowest polymorph of the same formula = 0.0824 eV per atom; SG = Cmce; raw total energy = -3.833 eV per atom
1.0
7.442 0.000 0.000
0.000 9.428 0.000
-3.721 0.000 8.697
Pm Ac Tl
6 4 8
direct
0.500 0.500 0.000
0.000 0.000 0.000
0.468 0.250 0.435
0.968 0.250 0.435
0.032 0.750 0.565
0.532 0.750 0.565
0.610 0.923 0.220
0.110 0.577 0.220
0.390 0.077 0.780
0.890 0.423 0.780
0.713 0.750 0.926
0.684 0.540 0.368
0.184 0.960 0.368
0.287 0.250 0.074
0.316 0.460 0.632
0.213 0.750 0.926
0.816 0.040 0.632
0.787 0.250 0.074

=====

La5DyIn3 | Alexandria | PBE | relaxed; energy of formation = -0.358 eV per atom; SG = P6_3/mcm; raw total energy = -4.520 eV per atom
1.0
7.046 0.000 0.000
0.000 9.697 0.000
0.000 -4.848 8.397
La In Dy
10 6 2
direct
0.750 0.000 0.341
0.750 0.341 0.000
0.750 0.659 0.659
0.000 0.667 0.333
0.250 0.341 0.341
0.000 0.333 0.667
0.250 0.659 0.000
0.500 0.333 0.667
0.500 0.667 0.333
0.250 0.000 0.659
0.750 0.321 0.321
0.750 0.000 0.679
0.750 0.679 0.000
0.250 0.679 0.679
0.250 0.000 0.321
0.250 0.321 0.000
0.000 0.000 0.000
0.500 0.000 0.000